First-principles (GGA-PBE) data for an optimized crystal structure of Ta2NiAg, as listed in Alexandria.

Cell: 3.9500 3.9500 8.2345 Å, 90.00 90.00 90.00°
With the nearest neighbours (Å) after each atom.
Space group I4/mmm (No. 139)
Inequivalent atoms, fractional coordinates:
Ta  0.0000  0.5000  0.2500 [4 per cell]  4 Ta 2.79, 4 Ni 2.85, 4 Ag 2.85
Ni  0.0000  0.0000  0.0000 [2 per cell]  4 Ag 2.79, 8 Ta 2.85
Ag  0.0000  0.0000  0.5000 [2 per cell]  4 Ni 2.79, 8 Ta 2.85

Output
**ΔE to the lowest computed polymorph**: 126.9 meV per atom
**E_form**: 0.1879 eV per atom
**Total moment**: 0.0 μB per formula unit
**DOS(E_F)**: 0.887 states/eV/atom